Entry from Alexandria via LeMat-Bulk: a relaxed TmCu2Pd crystal (PBE).

a b c (Å): 4.523 4.523 4.523
angles (deg): 60.00 60.00 60.00
Positions (direct):
Tm: 0.000 0.000 0.000
Cu: 0.250 0.250 0.250
Cu: 0.750 0.750 0.750
Pd: 0.500 0.500 0.500

Summary:
* energy relative to the elements: -8.59 kcal/mol of atoms
* mass density: 10.2 g cm⁻³
* total energy: -4.837 eV per atom